HfGaIrO6: relaxed, PBE-GGA.

abc: 4.693 4.693 9.387
angles: 90.00 90.00 90.00
Element x y z (fractional)
Hf  0.000  0.000  0.000
Hf  0.500  0.500  0.500
Ga  0.000  0.000  0.338
Ga  0.500  0.500  0.838
Ir  0.000  0.000  0.671
Ir  0.500  0.500  0.171
O  0.188  0.188  0.506
O  0.201  0.201  0.834
O  0.206  0.206  0.173
O  0.294  0.706  0.673
O  0.299  0.701  0.334
O  0.312  0.688  0.006
O  0.688  0.312  0.006
O  0.701  0.299  0.334
O  0.706  0.294  0.673
O  0.794  0.794  0.173
O  0.799  0.799  0.834
O  0.812  0.812  0.506

Crystal system   tetragonal
Space group   No. 102
Uncorrected formation energy   -1872 meV per atom